Below is an optimized crystal structure of LaBeAl2Ru2, with properties calculated at the PBE level.

## Properties
DOS at the Fermi energy in states/eV/atom: 0.423
Total energy in eV per atom: -6.279
Density in Mg/m³: 6.33

Unit cell a=4.3538 b=4.3538 c=5.5949 alpha=90.00 beta=90.00 gamma=90.00
Space group P4/mmm (No. 123)
Unique sites:
La 0.0000 0.0000 0.0000 x1
Be 0.0000 0.0000 0.5000 x1
Al 0.5000 0.5000 0.2566 x2
Ru 0.0000 0.5000 0.5000 x2


Below is an optimized crystal structure of La2Be4AlSi3, with properties calculated at the PBE level.

## Properties
DOS at the Fermi energy in states/eV/atom: 0.263
Formation energy without anion corrections in eV/f.u.: -3.854
Density in Mg/m³: 4.37

Unit cell a=4.0636 b=4.0636 c=9.7731 alpha=90.00 beta=90.00 gamma=90.00
Space group P-4m2 (No. 115)
Unique sites:
La 0.0000 0.5000 0.2427 x2
Be 0.0000 0.0000 0.0000 x1
Be 0.0000 0.5000 0.6352 x2
Be 0.5000 0.5000 0.0000 x1
Al 0.0000 0.0000 0.5000 x1
Si 0.0000 0.5000 0.8751 x2
Si 0.5000 0.5000 0.5000 x1